Record 1
CeS3O9 | PBE | optimized geometry

Unit cell a=8.6175 b=8.3922 c=8.9736 alpha=68.53 beta=61.30 gamma=59.11
Positions (direct):
O  0.0499  0.7756  0.8875
S  0.4839  0.7228  0.2683
O  0.4903  0.8409  0.3625
O  0.3503  0.8454  0.1798
S  0.9582  0.0421  0.1286
O  0.5976  0.0614  0.8874
O  0.9007  0.1035  0.9390
O  0.6244  0.3455  0.6798
O  0.2870  0.2756  0.3875
O  0.0568  0.6035  0.4390
S  0.8711  0.5421  0.6286
S  0.5250  0.2228  0.7683
O  0.5164  0.1548  0.6341
O  0.0777  0.4716  0.2219
O  0.4536  0.5614  0.3874
S  0.2085  0.4746  0.2909
O  0.7021  0.7262  0.6173
O  0.2288  0.9716  0.7219
S  0.0261  0.9746  0.7909
O  0.7716  0.0326  0.2633
O  0.3063  0.3409  0.8625
Ce  0.0023  0.5059  0.9973
O  0.6946  0.6548  0.1341
O  0.9545  0.2262  0.1173
O  0.9325  0.5326  0.7634
Ce  0.4944  0.0059  0.4973

Results
E_tot: -169.18 eV for the cell shown

Record 2
Pr4Hg5Pb | PBE | optimized geometry

Unit cell a=3.8945 b=3.8945 c=18.7983 alpha=90.00 beta=90.00 gamma=90.00
Last column: magnetic moment on the atom in μB.
Positions (direct):
Hg  0.5000  0.5000  0.7003  0.01
Hg  0.5000  0.5000  0.2997  0.01
Pr  0.0000  0.0000  0.8062  0.12
Hg  0.5000  0.5000  0.9025  0.00
Hg  0.5000  0.5000  0.5000  0.01
Pb  0.0000  0.0000  0.0000  0.00
Pr  0.0000  0.0000  0.1938  0.12
Pr  0.0000  0.0000  0.3991  0.17
Hg  0.5000  0.5000  0.0975  0.00
Pr  0.0000  0.0000  0.6009  0.17

Results
Energy of formation from the pure elements: -39.9 kJ/mol of atoms

Total magnetic moment? In order: 0.00; 1.19 μB per formula unit.